(1)
The following is a PBE calculation of an optimized crystal structure of KAl, from Alexandria via LeMat-Bulk.

Results
* energy above the most stable polymorph in this dataset: 0.460 eV per atom
* DOS at the Fermi energy: 2.65 states/eV/cell
* DFT formation energy: 578 meV per atom
* spin magnetization: 0.00 μB/cell

abc: 4.1114 4.1114 4.1114
angles: 90.00 90.00 90.00
Closest atoms and distances in Å follow each position.
Element x y z (fractional)
K 0.5000 0.5000 0.5000  8 Al 3.56
Al 0.0000 0.0000 0.0000  8 K 3.56


(2)
The following is a PBE calculation of an optimized crystal structure of HfPIN2, from Alexandria via LeMat-Bulk.

Results
* energy above the most stable polymorph in this dataset: 0.575 eV per atom
* DOS at the Fermi energy: 1.93 states/eV/cell
* formation energy from raw total energies: 6.59 eV/f.u.
* spin magnetization: 0.00 μB/cell

abc: 3.9210 3.9210 4.9484
angles: 90.00 90.00 90.00
Closest atoms and distances in Å follow each position.
Element x y z (fractional)
Hf 0.5000 0.5000 0.5000  4 I 2.77
N 0.5000 0.0000 0.0000  2 P 1.96
N 0.0000 0.5000 0.0000  2 P 1.96
P 0.0000 0.0000 0.0000  4 N 1.96
I 0.0000 0.0000 0.5000  2 P 2.47


(3)
The following is a PBE calculation of an optimized crystal structure of Nd3Ni2, from Alexandria via LeMat-Bulk.

Results
* energy above the most stable polymorph in this dataset: 0.004 eV per atom
* DOS at the Fermi energy: 4.73 states/eV/cell
* DFT formation energy: -229 meV per atom
* spin magnetization: 0.00 μB/cell

abc: 3.8548 6.2427 6.2427
angles: 63.18 72.02 72.02
Closest atoms and distances in Å follow each position.
Element x y z (fractional)
Nd 0.1874 0.3126 0.3126  4 Ni 2.95
Nd 0.0000 0.0000 0.0000  4 Ni 2.81
Nd 0.8126 0.6874 0.6874  4 Ni 2.95
Ni 0.5000 0.3117 0.6883  1 Ni 2.46
Ni 0.5000 0.6883 0.3117  1 Ni 2.46